# 1
First-principles (PBE) data for a geometry-optimized Dy5Ag4Os structure, as listed in the Alexandria database.

```
data_Dy5Ag4Os
_chemical_formula_sum 'Dy5 Ag4 Os1'
_space_group_name_H-M_alt 'P 4/m m m'
_space_group_IT_number 123
_space_group_name_Hall '-P 4 2'
_cell_length_a 3.526
_cell_length_b 3.526
_cell_length_c 18.548
_cell_angle_alpha 90.00
_cell_angle_beta 90.00
_cell_angle_gamma 90.00
loop_
_atom_site_label
_atom_site_type_symbol
_atom_site_fract_x
_atom_site_fract_y
_atom_site_fract_z
_atom_site_occupancy
Dy1 Dy 0.000 0.000 0.000 1
Dy2 Dy 0.000 0.000 0.203 1
Dy3 Dy 0.000 0.000 0.411 1
Ag1 Ag 0.500 0.500 0.101 1
Ag2 Ag 0.500 0.500 0.304 1
Os1 Os 0.500 0.500 0.500 1
```

## Properties
size of the total moment = 0.0 Bohr magnetons per cell
ρ = 10.325 Mg/m³
E_form = -0.304 eV/atom



# 2
First-principles (PBE) data for a geometry-optimized Dy5Ag2Os structure, as listed in the Alexandria database.

```
data_Dy5Ag2Os
_chemical_formula_sum 'Dy20 Ag8 Os4'
_space_group_name_H-M_alt 'I 4/m c m'
_space_group_IT_number 140
_space_group_name_Hall '-I 4 2c'
_cell_length_a 7.182
_cell_length_b 7.182
_cell_length_c 15.753
_cell_angle_alpha 90.00
_cell_angle_beta 90.00
_cell_angle_gamma 90.00
loop_
_atom_site_label
_atom_site_type_symbol
_atom_site_fract_x
_atom_site_fract_y
_atom_site_fract_z
_atom_site_occupancy
Dy1 Dy 0.000 0.000 0.000 1
Dy2 Dy 0.176 0.324 0.157 1
Ag1 Ag 0.130 0.370 0.500 1
Os1 Os 0.000 0.000 0.250 1
```

## Properties
size of the total moment = 0.0 Bohr magnetons per cell
ρ = 9.961 Mg/m³
E_form = -0.213 eV/atom



# 3
First-principles (PBE) data for a geometry-optimized DyPaAgOs structure, as listed in the Alexandria database.

```
data_DyPaAgOs
_chemical_formula_sum 'Dy4 Pa4 Ag4 Os4'
_space_group_name_H-M_alt 'F -4 3 m'
_space_group_IT_number 216
_space_group_name_Hall 'F -4 2 3'
_cell_length_a 7.031
_cell_length_b 7.031
_cell_length_c 7.031
_cell_angle_alpha 90.00
_cell_angle_beta 90.00
_cell_angle_gamma 90.00
loop_
_atom_site_label
_atom_site_type_symbol
_atom_site_fract_x
_atom_site_fract_y
_atom_site_fract_z
_atom_site_occupancy
Dy1 Dy 0.000 0.000 0.000 1
Pa1 Pa 0.000 0.000 0.500 1
Ag1 Ag 0.250 0.250 0.250 1
Os1 Os 0.250 0.250 0.750 1
```

## Properties
size of the total moment = 0.0 Bohr magnetons per cell
ρ = 13.214 Mg/m³
E_form = -0.074 eV/atom



# 4
First-principles (PBE) data for a geometry-optimized PmDyAgOs structure, as listed in the Alexandria database.

```
data_PmDyAgOs
_chemical_formula_sum 'Pm4 Dy4 Ag4 Os4'
_space_group_name_H-M_alt 'F -4 3 m'
_space_group_IT_number 216
_space_group_name_Hall 'F -4 2 3'
_cell_length_a 7.090
_cell_length_b 7.090
_cell_length_c 7.090
_cell_angle_alpha 90.00
_cell_angle_beta 90.00
_cell_angle_gamma 90.00
loop_
_atom_site_label
_atom_site_type_symbol
_atom_site_fract_x
_atom_site_fract_y
_atom_site_fract_z
_atom_site_occupancy
Pm1 Pm 0.000 0.000 0.000 1
Dy1 Dy 0.000 0.000 0.500 1
Ag1 Ag 0.250 0.250 0.750 1
Os1 Os 0.250 0.250 0.250 1
```

## Properties
size of the total moment = 0.0 Bohr magnetons per cell
ρ = 11.287 Mg/m³
E_form = -0.196 eV/atom



# 5
First-principles (PBE) data for a geometry-optimized DyScAgOs structure, as listed in the Alexandria database.

```
data_DyScAgOs
_chemical_formula_sum 'Dy1 Sc1 Ag1 Os1'
_space_group_name_H-M_alt 'P 4 m m'
_space_group_IT_number 99
_space_group_name_Hall 'P 4 -2'
_cell_length_a 3.313
_cell_length_b 3.313
_cell_length_c 7.399
_cell_angle_alpha 90.00
_cell_angle_beta 90.00
_cell_angle_gamma 90.00
loop_
_atom_site_label
_atom_site_type_symbol
_atom_site_fract_x
_atom_site_fract_y
_atom_site_fract_z
_atom_site_occupancy
Dy1 Dy 0.000 0.000 0.000 1
Sc1 Sc 0.000 0.000 0.562 1
Ag1 Ag 0.500 0.500 0.304 1
Os1 Os 0.500 0.500 0.763 1
```

## Properties
energy above the lowest structure with this stoichiometry = 0.0 kJ per mole of atoms
size of the total moment = 0.0 Bohr magnetons per cell
ρ = 10.339 Mg/m³
E_form = -0.371 eV/atom



# 6
First-principles (PBE) data for a geometry-optimized DyScAgOs structure, as listed in the Alexandria database.

```
data_DyScAgOs
_chemical_formula_sum 'Dy4 Sc4 Ag4 Os4'
_space_group_name_H-M_alt 'F -4 3 m'
_space_group_IT_number 216
_space_group_name_Hall 'F -4 2 3'
_cell_length_a 6.811
_cell_length_b 6.811
_cell_length_c 6.811
_cell_angle_alpha 90.00
_cell_angle_beta 90.00
_cell_angle_gamma 90.00
loop_
_atom_site_label
_atom_site_type_symbol
_atom_site_fract_x
_atom_site_fract_y
_atom_site_fract_z
_atom_site_occupancy
Dy1 Dy 0.000 0.000 0.000 1
Sc1 Sc 0.000 0.000 0.500 1
Ag1 Ag 0.250 0.250 0.250 1
Os1 Os 0.250 0.250 0.750 1
```

## Properties
energy above the lowest structure with this stoichiometry = 7.4 kJ per mole of atoms
size of the total moment = 0.0 Bohr magnetons per cell
ρ = 10.626 Mg/m³
E_form = -0.294 eV/atom



# 7
First-principles (PBE) data for a geometry-optimized SmDyAgOs structure, as listed in the Alexandria database.

```
data_SmDyAgOs
_chemical_formula_sum 'Sm4 Dy4 Ag4 Os4'
_space_group_name_H-M_alt 'F -4 3 m'
_space_group_IT_number 216
_space_group_name_Hall 'F -4 2 3'
_cell_length_a 7.072
_cell_length_b 7.072
_cell_length_c 7.072
_cell_angle_alpha 90.00
_cell_angle_beta 90.00
_cell_angle_gamma 90.00
loop_
_atom_site_label
_atom_site_type_symbol
_atom_site_fract_x
_atom_site_fract_y
_atom_site_fract_z
_atom_site_occupancy
Sm1 Sm 0.000 0.000 0.000 1
Dy1 Dy 0.000 0.000 0.500 1
Ag1 Ag 0.250 0.250 0.750 1
Os1 Os 0.250 0.250 0.250 1
```

## Properties
size of the total moment = 0.0 Bohr magnetons per cell
ρ = 11.476 Mg/m³
E_form = -0.211 eV/atom



# 8
First-principles (PBE) data for a geometry-optimized DyTmAgOs structure, as listed in the Alexandria database.

```
data_DyTmAgOs
_chemical_formula_sum 'Dy4 Tm4 Ag4 Os4'
_space_group_name_H-M_alt 'F -4 3 m'
_space_group_IT_number 216
_space_group_name_Hall 'F -4 2 3'
_cell_length_a 6.951
_cell_length_b 6.951
_cell_length_c 6.951
_cell_angle_alpha 90.00
_cell_angle_beta 90.00
_cell_angle_gamma 90.00
loop_
_atom_site_label
_atom_site_type_symbol
_atom_site_fract_x
_atom_site_fract_y
_atom_site_fract_z
_atom_site_occupancy
Dy1 Dy 0.000 0.000 0.000 1
Tm1 Tm 0.000 0.000 0.500 1
Ag1 Ag 0.250 0.250 0.750 1
Os1 Os 0.250 0.250 0.250 1
```

## Properties
energy above the lowest structure with this stoichiometry = 4.3 kJ per mole of atoms
size of the total moment = 0.0 Bohr magnetons per cell
ρ = 12.448 Mg/m³
E_form = -0.304 eV/atom